Entry 1:
An optimized crystal structure of La2Cu3Si, computed with PBE.

Unit cell a=8.0067 b=8.6156 c=14.8483 alpha=90.00 beta=90.00 gamma=90.00
Space group Fmmm (No. 69)
Asymmetric unit:
La 0.2386 0.0000 0.0000 (multiplicity 8)
La 0.2500 0.2500 0.2500 (multiplicity 8)
Cu 0.0000 0.0000 0.1711 (multiplicity 8)
Cu 0.0000 0.2433 0.4150 (multiplicity 16)
Si 0.0000 0.0000 0.3353 (multiplicity 8)

Properties
total magnetization	0.00	μB per cell
raw total energy	-239.07	eV per cell
energy relative to the elements, uncorrected	-386	meV/atom


Entry 2:
An optimized crystal structure of PrDy2Y2Tm2, computed with PBE.

Unit cell a=3.5486 b=5.4563 c=23.2444 alpha=90.00 beta=90.00 gamma=90.00
Space group Immm (No. 71)
Asymmetric unit:
Pr 0.0000 0.0000 0.0000 (multiplicity 2)
Dy 0.0000 0.5000 0.2238 (multiplicity 4)
Y 0.0000 0.0000 0.1427 (multiplicity 4)
Tm 0.0000 0.0000 0.4196 (multiplicity 4)

Properties
total magnetization	0.00	μB per cell
raw total energy	-71.10	eV per cell
formation enthalpy at 0 K	0.043	eV/atom


Entry 3:
An optimized crystal structure of AcSi2Hg, computed with PBE.

Unit cell a=4.1333 b=6.0079 c=8.5404 alpha=90.00 beta=90.00 gamma=90.00
Space group Amm2 (No. 38)
Asymmetric unit:
Ac 0.0000 0.0000 0.0000 (multiplicity 2)
Si 0.5000 0.1936 0.2859 (multiplicity 4)
Hg 0.5000 0.0000 0.5722 (multiplicity 2)

Properties
total magnetization	0.00	μB per cell
raw total energy	-31.38	eV per cell
energy relative to the elements, uncorrected	-109	meV/atom


Entry 4:
An optimized crystal structure of SrPmBr6, computed with PBE.

Unit cell a=11.8143 b=11.8143 c=11.8143 alpha=90.00 beta=90.00 gamma=90.00
Space group Fm-3m (No. 225)
Asymmetric unit:
Sr 0.0000 0.0000 0.0000 (multiplicity 4)
Pm 0.0000 0.0000 0.5000 (multiplicity 4)
Br 0.0000 0.0000 0.2577 (multiplicity 24)

Properties
total magnetization	0.03	μB per cell
raw total energy	-115.82	eV per cell
energy relative to the elements, uncorrected	-1561	meV/atom


Entry 5:
An optimized crystal structure of NdCuSn2, computed with PBE.

Unit cell a=3.4472 b=3.4472 c=30.8008 alpha=90.00 beta=90.00 gamma=120.00
Space group R-3m (No. 166, hexagonal axes)
Asymmetric unit:
Nd 0.0000 0.0000 0.0000 (multiplicity 3)
Cu 0.0000 0.0000 0.5000 (multiplicity 3)
Sn 0.0000 0.0000 0.1047 (multiplicity 6)

Properties
total magnetization	0.00	μB per cell
raw total energy	-49.19	eV per cell
formation enthalpy at 0 K	0.118	eV/atom


Entry 6:
An optimized crystal structure of SmUTc, computed with PBE.

Unit cell a=3.4690 b=3.4690 c=11.2720 alpha=90.00 beta=90.00 gamma=90.00
Space group I4mm (No. 107)
Asymmetric unit:
Sm 0.0000 0.0000 0.0000 (multiplicity 2)
U 0.0000 0.0000 0.6993 (multiplicity 2)
Tc 0.0000 0.0000 0.2962 (multiplicity 2)

Properties
total magnetization	0.67	μB per cell
raw total energy	-52.45	eV per cell
formation enthalpy at 0 K	0.049	eV/atom


Entry 7:
An optimized crystal structure of AlCdRu2, computed with PBE.

Unit cell a=8.6876 b=2.8680 c=5.1762 alpha=90.00 beta=102.08 gamma=90.00
Space group C2/m (No. 12)
Asymmetric unit:
Al 0.0000 0.0000 0.0000 (multiplicity 2)
Cd 0.0000 0.5000 0.5000 (multiplicity 2)
Ru 0.2364 0.5000 0.2122 (multiplicity 4)

Properties
total magnetization	0.00	μB per cell
raw total energy	-46.12	eV per cell
formation enthalpy at 0 K	0.038	eV/atom


Entry 8:
An optimized crystal structure of MnGePd, computed with PBE.

Unit cell a=2.9952 b=4.4634 c=7.1015 alpha=90.00 beta=90.00 gamma=90.00
Space group Imm2 (No. 44)
Asymmetric unit:
Mn 0.0000 0.0000 0.0000 (multiplicity 2)
Ge 0.0000 0.5000 0.7998 (multiplicity 2)
Pd 0.0000 0.5000 0.1922 (multiplicity 2)

Properties
total magnetization	7.11	μB per cell
raw total energy	-38.49	eV per cell
formation enthalpy at 0 K	-0.089	eV/atom


Entry 9:
An optimized crystal structure of Na3SmEr2Se6, computed with PBE.

Unit cell a=7.1914 b=12.4577 c=7.4098 alpha=90.00 beta=108.89 gamma=90.00
Space group C2/m (No. 12)
Asymmetric unit:
Na 0.0000 0.0000 0.0000 (multiplicity 2)
Na 0.0000 0.3344 0.0000 (multiplicity 4)
Sm 0.0000 0.5000 0.5000 (multiplicity 2)
Er 0.0000 0.1669 0.5000 (multiplicity 4)
Se 0.2362 0.0000 0.7299 (multiplicity 4)
Se 0.2468 0.3298 0.7295 (multiplicity 8)

Properties
total magnetization	0.00	μB per cell
raw total energy	-118.20	eV per cell
energy relative to the elements, uncorrected	-1699	meV/atom


Entry 10:
An optimized crystal structure of HfAgMo, computed with PBE.

Unit cell a=3.3360 b=3.3360 c=9.7605 alpha=90.00 beta=90.00 gamma=90.00
Space group P4/nmm (No. 129, origin choice 2)
Asymmetric unit:
Hf 0.2500 0.2500 0.2459 (multiplicity 2)
Ag 0.2500 0.2500 0.5804 (multiplicity 2)
Mo 0.2500 0.2500 0.9231 (multiplicity 2)

Properties
total magnetization	0.00	μB per cell
raw total energy	-47.82	eV per cell
formation enthalpy at 0 K	-0.091	eV/atom


Entry 11:
An optimized crystal structure of AlNiSN2, computed with PBE.

Unit cell a=3.6382 b=3.6382 c=4.9523 alpha=90.00 beta=90.00 gamma=90.00
Space group P4/mmm (No. 123)
Asymmetric unit:
Al 0.0000 0.0000 0.0000 (multiplicity 1)
Ni 0.5000 0.5000 0.5000 (multiplicity 1)
S 0.5000 0.5000 0.0000 (multiplicity 1)
N 0.0000 0.5000 0.5000 (multiplicity 2)

Properties
total magnetization	2.80	μB per cell
raw total energy	-25.51	eV per cell
energy relative to the elements, uncorrected	958	meV/atom


Entry 12:
An optimized crystal structure of MgTa2Ru2, computed with PBE.

Unit cell a=7.5662 b=7.5662 c=3.0335 alpha=90.00 beta=90.00 gamma=90.00
Space group P4/mbm (No. 127)
Asymmetric unit:
Mg 0.0000 0.0000 0.0000 (multiplicity 2)
Ta 0.1532 0.3468 0.5000 (multiplicity 4)
Ru 0.1432 0.6432 0.0000 (multiplicity 4)

Properties
total magnetization	0.00	μB per cell
raw total energy	-89.31	eV per cell
formation enthalpy at 0 K	-0.161	eV/atom


Entry 13:
An optimized crystal structure of Sm2CdAu3, computed with PBE.

Unit cell a=6.9276 b=9.6621 c=16.6364 alpha=90.00 beta=90.00 gamma=90.00
Space group Fmmm (No. 69)
Asymmetric unit:
Sm 0.2450 0.0000 0.0000 (multiplicity 8)
Sm 0.2500 0.2500 0.2500 (multiplicity 8)
Cd 0.0000 0.0000 0.3332 (multiplicity 8)
Au 0.0000 0.0000 0.1669 (multiplicity 8)
Au 0.0000 0.2474 0.4161 (multiplicity 16)

Properties
total magnetization	0.00	μB per cell
raw total energy	-193.43	eV per cell
formation enthalpy at 0 K	-0.665	eV/atom


Entry 14:
An optimized crystal structure of Ho5Er5Sc2, computed with PBE.

Unit cell a=16.6536 b=5.4861 c=9.4679 alpha=90.00 beta=124.56 gamma=90.00
Space group C2/m (No. 12)
Asymmetric unit:
Ho 0.0000 0.0000 0.0000 (multiplicity 2)
Ho 0.1237 0.0000 0.7867 (multiplicity 4)
Ho 0.1285 0.0000 0.4538 (multiplicity 4)
Er 0.0000 0.5000 0.5000 (multiplicity 2)
Er 0.1227 0.5000 0.9631 (multiplicity 4)
Er 0.2498 0.0000 0.2495 (multiplicity 4)
Sc 0.1251 0.5000 0.2946 (multiplicity 4)

Properties
total magnetization	0.01	μB per cell
raw total energy	-114.98	eV per cell
formation enthalpy at 0 K	0.073	eV/atom


Entry 15:
An optimized crystal structure of Sm2NiB10, computed with PBE.

Unit cell a=5.6058 b=11.1709 c=4.1750 alpha=90.00 beta=90.00 gamma=90.00
Space group Pbam (No. 55)
Asymmetric unit:
Sm 0.1884 0.1369 0.0000 (multiplicity 4)
Ni 0.0000 0.5000 0.5000 (multiplicity 2)
B 0.0326 0.3126 0.5000 (multiplicity 4)
B 0.1260 0.9588 0.5000 (multiplicity 4)
B 0.1577 0.8021 0.5000 (multiplicity 4)
B 0.2013 0.3861 0.1995 (multiplicity 8)

Properties
total magnetization	0.00	μB per cell
raw total energy	-177.73	eV per cell
formation enthalpy at 0 K	-0.528	eV/atom


Entry 16:
An optimized crystal structure of MnV3Cr2, computed with PBE.

Unit cell a=2.8991 b=2.8991 c=8.7123 alpha=90.00 beta=90.00 gamma=90.00
Space group P4/mmm (No. 123)
Asymmetric unit:
Mn 0.0000 0.0000 0.0000 (multiplicity 1)
V 0.5000 0.5000 0.1646 (multiplicity 2)
V 0.5000 0.5000 0.5000 (multiplicity 1)
Cr 0.0000 0.0000 0.3324 (multiplicity 2)

Properties
total magnetization	0.00	μB per cell
raw total energy	-56.74	eV per cell
formation enthalpy at 0 K	-0.161	eV/atom


Entry 17:
An optimized crystal structure of SrGa2Sn2, computed with PBE.

Unit cell a=4.9563 b=4.9563 c=19.3029 alpha=90.00 beta=90.00 gamma=120.00
Space group R-3m (No. 166, hexagonal axes)
Asymmetric unit:
Sr 0.0000 0.0000 0.0000 (multiplicity 3)
Ga 0.0000 0.0000 0.1995 (multiplicity 6)
Sn 0.0000 0.0000 0.4261 (multiplicity 6)

Properties
total magnetization	0.00	μB per cell
raw total energy	-50.31	eV per cell
formation enthalpy at 0 K	-0.205	eV/atom


Entry 18:
An optimized crystal structure of PaTiSb, computed with PBE.

Unit cell a=3.4840 b=3.4840 c=11.1815 alpha=90.00 beta=90.00 gamma=90.00
Space group I4mm (No. 107)
Asymmetric unit:
Pa 0.0000 0.0000 0.0000 (multiplicity 2)
Ti 0.0000 0.0000 0.6767 (multiplicity 2)
Sb 0.0000 0.0000 0.2991 (multiplicity 2)

Properties
total magnetization	0.01	μB per cell
raw total energy	-44.23	eV per cell
energy relative to the elements, uncorrected	-200	meV/atom


Entry 19:
An optimized crystal structure of LaFeW2, computed with PBE.

Unit cell a=3.2250 b=5.1727 c=8.9745 alpha=90.00 beta=90.00 gamma=90.00
Space group Imm2 (No. 44)
Asymmetric unit:
La 0.0000 0.0000 0.0000 (multiplicity 2)
Fe 0.0000 0.5000 0.2374 (multiplicity 2)
W 0.0000 0.0000 0.5114 (multiplicity 2)
W 0.0000 0.5000 0.7807 (multiplicity 2)

Properties
total magnetization	2.67	μB per cell
raw total energy	-71.89	eV per cell
formation enthalpy at 0 K	0.837	eV/atom


Entry 20:
An optimized crystal structure of CdTcBrO2, computed with PBE.

Unit cell a=3.8945 b=3.8945 c=5.7162 alpha=90.00 beta=90.00 gamma=90.00
Space group P4/mmm (No. 123)
Asymmetric unit:
Cd 0.0000 0.0000 0.0000 (multiplicity 1)
Tc 0.5000 0.5000 0.5000 (multiplicity 1)
Br 0.5000 0.5000 0.0000 (multiplicity 1)
O 0.0000 0.5000 0.5000 (multiplicity 2)

Properties
total magnetization	0.00	μB per cell
raw total energy	-25.97	eV per cell
energy relative to the elements, uncorrected	-620	meV/atom